[1]
CoP2N: relaxed, GGA-PBE.

a b c (Å): 3.2423 3.2423 5.7018
angles (deg): 90.00 90.00 120.00
Space group P-6m2 (No. 187)
One atom of each set of equivalent atoms:
Co 0.0000 0.0000 0.0000 (multiplicity 1)
P 0.3333 0.6667 0.2226 (multiplicity 2)
N 0.3333 0.6667 0.5000 (multiplicity 1)

Properties
Formation energy without anion corrections ... -0.15 eV/atom
V ... 52 Å³/f.u.
DFT total energy ... -6.7085 eV/atom
Total moment ... 0.0 μB per formula unit
Density ... 4.31 Mg/m³

[2]
CoP3N: relaxed, GGA-PBE.

a b c (Å): 3.926 3.926 3.926
angles (deg): 90.00 90.00 90.00
Space group Pm-3m (No. 221)
One atom of each set of equivalent atoms:
Co 0.000 0.000 0.000 (multiplicity 1)
P 0.000 0.500 0.500 (multiplicity 3)
N 0.500 0.500 0.500 (multiplicity 1)

Properties
Formation energy without anion corrections ... 0.92 eV/atom
Polymorph energy (0 for the lowest one) ... 0.000 eV/atom
V ... 61 Å³/f.u.
DFT total energy ... -5.4132 eV/atom
Total moment ... 0.7 μB per formula unit
Density ... 4.55 Mg/m³

[3]
CoP2N: relaxed, GGA-PBE.

a b c (Å): 4.810 4.810 8.665
angles (deg): 90.00 90.00 90.00
Space group I-42d (No. 122)
One atom of each set of equivalent atoms:
Co 0.000 0.000 0.000 (multiplicity 4)
P 0.222 0.250 0.625 (multiplicity 8)
N 0.000 0.000 0.500 (multiplicity 4)

Properties
Formation energy without anion corrections ... 0.16 eV/atom
V ... 50 Å³/f.u.
DFT total energy ... -6.3979 eV/atom
Total moment ... 0.0 μB per formula unit
Density ... 4.47 Mg/m³

[4]
CoP2N: relaxed, GGA-PBE.

a b c (Å): 3.656 3.721 4.449
angles (deg): 85.69 79.39 68.60
Space group P1 (No. 1)
One atom of each set of equivalent atoms:
Co 0.000 0.000 0.000 (multiplicity 1)
P 0.432 0.017 0.284 (multiplicity 1)
P 0.708 0.598 0.886 (multiplicity 1)
N 0.416 0.818 0.630 (multiplicity 1)

Properties
Formation energy without anion corrections ... 0.00 eV/atom
V ... 55 Å³/f.u.
DFT total energy ... -6.5628 eV/atom
Total moment ... 0.0 μB per formula unit
Density ... 4.04 Mg/m³

Question: Which value of V does entry 3 give?
Answer: 50 Å³/f.u.

Question: What is the DFT total energy in the fourth record?
Answer: -6.5628 eV/atom

Question: Which of these has the lowest formation energy without anion corrections?
Answer: number 1